1.
Compound: CaYMg
Source: Alexandria
Functional: SCAN
Structure: single point on PBEsol structure Values from VASP.

Geometry as Quantum ESPRESSO input:
```
&SYSTEM
  ibrav = 0, nat = 3, ntyp = 3
/
ATOMIC_SPECIES
Ca 40.08 Ca.upf
Y 88.91 Y.upf
Mg 24.30 Mg.upf
ATOMIC_POSITIONS crystal
Ca 0.0000 0.0000 0.0000
Y 0.3012 0.3012 0.0000
Mg 0.6586 0.6586 0.0000
CELL_PARAMETERS angstrom
-1.8511 1.8511 6.7036
1.8511 -1.8511 6.7036
1.8511 1.8511 -6.7036
```

Summary:
- formation energy from the elements (eV per atom) = -0.007
- symmetry = I4mm



2.
Compound: Si3C
Source: Alexandria
Functional: SCAN
Structure: single point on PBEsol structure Values from VASP.

Geometry as Quantum ESPRESSO input:
```
&SYSTEM
  ibrav = 0, nat = 4, ntyp = 2
/
ATOMIC_SPECIES
Si 28.09 Si.upf
C 12.01 C.upf
ATOMIC_POSITIONS crystal
Si 0.0000 0.0000 0.0000
Si 0.5000 0.5000 0.3137
Si 0.5000 0.5000 0.6863
C 0.0000 0.0000 0.5000
CELL_PARAMETERS angstrom
1.4163 -2.4951 0.0000
1.4163 2.4951 0.0000
0.0000 0.0000 6.9951
```

Summary:
- uncorrected formation energy (eV/atom) = 0.96
- symmetry = Cmmm



3.
Compound: Li3NbNi4O8
Source: Alexandria
Functional: SCAN
Structure: single point on PBEsol structure Values from VASP.

Geometry as Quantum ESPRESSO input:
```
&SYSTEM
  ibrav = 0, nat = 16, ntyp = 4
/
ATOMIC_SPECIES
Li 6.94 Li.upf
Nb 92.91 Nb.upf
Ni 58.69 Ni.upf
O 16.00 O.upf
ATOMIC_POSITIONS crystal
Li 0.0000 0.0000 0.0000
Li 0.0000 0.5000 0.0000
Li 0.5000 0.0000 0.0000
Nb 0.5000 0.5000 0.5000
Ni 0.0000 0.0000 0.5000
Ni 0.0000 0.5000 0.5000
Ni 0.5000 0.0000 0.5000
Ni 0.5000 0.5000 0.0000
O 0.2495 0.2495 0.7338
O 0.2513 0.7453 0.2512
O 0.2547 0.7487 0.7488
O 0.2563 0.2563 0.2574
O 0.7437 0.7437 0.7426
O 0.7453 0.2513 0.2512
O 0.7487 0.2547 0.7488
O 0.7505 0.7505 0.2662
CELL_PARAMETERS angstrom
4.9987 -2.9408 0.0000
4.9987 2.9408 0.0000
-3.3319 0.0000 4.8010
```

Summary:
- uncorrected formation energy (eV/atom) = -1.89
- symmetry = C2/m



It is found that the volume values, taken in the order of the records, are 30.63 12.36 8.82 A^3/atom.
It is found that the DOS at the Fermi energy values, taken in the order of the records, are 3.6 1.2 0.0 states/eV/f.u..